4
Lattice="-2.400 -0.038 -1.367 -1.354 -0.327 2.386 -0.558 7.859 0.761" Properties=species:S:1:pos:R:3 comment="Mg2CoRu (PBE, relaxed)" n_ef_per_ev_cell=5.6 ef_kj_per_mol_fu=81 rho_g_cm3=5.733 pbc="T T T"
Mg -0.553 7.793 0.754
Mg -0.284 3.996 0.387
Ru -2.017 1.782 0.700
Co -2.296 5.712 1.080


4
Lattice="-0.539 0.660 3.161 1.261 -2.908 0.822 5.113 2.326 0.386" Properties=species:S:1:pos:R:3 comment="Mg2CoRu (PBE, relaxed)" n_ef_per_ev_cell=3.7 ef_kj_per_mol_fu=78 rho_g_cm3=5.739 pbc="T T T"
Mg 0.001 0.000 0.000
Mg 2.555 1.163 0.193
Ru 1.639 -0.542 2.088
Co 4.196 0.621 2.281


8
Lattice="6.985 0.000 0.000 0.000 6.985 0.000 3.493 3.493 2.646" Properties=species:S:1:pos:R:3 comment="Mg2CoRu (PBE, relaxed)" n_ef_per_ev_cell=7.5 ef_kj_per_mol_fu=205 rho_g_cm3=5.366 pbc="T T T"
Mg 5.140 1.746 0.661
Mg 1.845 5.239 0.661
Mg 8.732 8.633 1.984
Mg 5.239 5.338 1.984
Co 3.493 6.985 1.323
Co 3.493 3.493 0.000
Ru 6.985 3.493 1.323
Ru 0.000 0.000 0.000


5
Lattice="5.011 0.000 0.000 0.000 5.011 0.000 2.505 2.505 3.558" Properties=species:S:1:pos:R:3 comment="Mg2CoRu2 (PBE, relaxed)" n_ef_per_ev_cell=6.4 ef_kj_per_mol_fu=378 rho_g_cm3=5.757 pbc="T T T"
Ru 5.011 5.011 2.404
Ru 2.505 2.505 1.154
Mg 5.011 2.505 1.779
Mg 2.505 5.011 1.779
Co 0.000 0.000 0.000


10
Lattice="-3.147 -1.740 -5.065 -0.865 -5.632 2.472 -3.628 1.344 1.793" Properties=species:S:1:pos:R:3 comment="Mg2CoRu2 (PBE, relaxed)" n_ef_per_ev_cell=7.9 ef_kj_per_mol_fu=102 rho_g_cm3=6.252 pbc="T T T"
Mg -2.933 -3.405 1.689
Mg -4.707 -2.623 -2.489
Mg -2.997 -0.864 -0.347
Mg -4.643 -5.164 -0.453
Ru -1.888 -5.490 0.296
Ru -0.746 -2.282 0.202
Ru -2.124 -1.882 -2.888
Ru -3.267 -5.090 -2.794
Co 0.000 0.000 0.000
Co -2.006 -3.686 -1.296


4
Lattice="-1.876 0.960 1.854 -2.925 -0.670 -2.612 -0.619 -5.050 1.989" Properties=species:S:1:pos:R:3 comment="Mg2CoRu (PBE, relaxed)" n_ef_per_ev_cell=4.1 ef_kj_per_mol_fu=77 rho_g_cm3=5.680 pbc="T T T"
Ru -2.555 -1.118 0.118
Mg -0.310 -2.527 0.995
Mg -0.619 -5.048 1.989
Co -2.864 -3.642 1.113


4
Lattice="-0.086 -3.718 2.396 1.577 -3.766 -1.703 3.769 -1.720 1.550" Properties=species:S:1:pos:R:3 comment="MgScCoRu (PBE, relaxed)" n_ef_per_ev_cell=5.0 ef_kj_per_mol_fu=-48 rho_g_cm3=6.220 pbc="T T T"
Co 1.315 -2.301 0.561
Mg 2.630 -4.602 1.122
Ru 3.945 -6.903 1.682
Sc 0.000 0.000 0.000


4
Lattice="-0.415 3.361 2.393 0.070 -0.373 4.130 3.244 1.424 2.156" Properties=species:S:1:pos:R:3 comment="MgCoSiRu (PBE, relaxed)" n_ef_per_ev_cell=2.6 rho_g_cm3=6.992 formation_energy_uncorrected_ev_per_atom=-0.342 pbc="T T T"
Si 2.175 3.309 6.509
Co 1.450 2.206 4.340
Ru 0.000 0.000 0.000
Mg 0.725 1.103 2.170